Model w:
## BaCd2F7 (GGA-PBE)

Data for a relaxed structure of BaCd2F7.

Crystal system: tetragonal
Theoretical density in g cm⁻³: 5.68
M_tot in μB/cell: 1.120
SG: I4/mmm, No. 139

Unit cell a=3.946 b=3.946 c=9.700 alpha=101.74 beta=101.74 gamma=90.00
Fractional positions:
F 0.107 0.607 0.214
F 0.750 0.250 0.500
F 0.250 0.750 0.500
F 0.393 0.893 0.786
F 0.607 0.107 0.214
F 0.500 0.500 0.000
F 0.893 0.393 0.786
Cd 0.675 0.675 0.350
Cd 0.325 0.325 0.650
Ba 0.000 0.000 0.000

Model x:
## BaCd2F7 (GGA-PBE)

Data for a relaxed structure of BaCd2F7.

Crystal system: orthorhombic
Theoretical density in g cm⁻³: 4.92
M_tot in μB/cell: 1.040
SG: Cmmm, No. 65

Unit cell a=4.266 b=6.585 c=6.585 alpha=115.38 beta=90.00 gamma=90.00
Fractional positions:
F 0.000 0.742 0.258
F 0.000 0.258 0.742
F 0.500 0.060 0.315
F 0.500 0.500 0.500
F 0.500 0.685 0.940
F 0.500 0.940 0.685
F 0.500 0.315 0.060
Ba 0.000 0.000 0.000
Cd 0.500 0.300 0.700
Cd 0.500 0.700 0.300

It comes down to model w, which is 1.4 kJ/mol of atoms more stable than the next structure.

Model w:
## Ba2CdF2 (GGA-PBE)

Data for a relaxed structure of Ba2CdF2.

Crystal system: tetragonal
Theoretical density in g cm⁻³: 4.60
M_tot in μB/cell: 0.000
SG: I4/mmm, No. 139

Unit cell a=5.507 b=5.507 c=6.384 alpha=64.45 beta=64.45 gamma=90.00
Fractional positions:
Cd 0.000 0.000 0.000
Ba 0.250 0.750 0.500
Ba 0.750 0.250 0.500
F 0.725 0.725 0.551
F 0.275 0.275 0.449

Model x:
## Ba2CdF2 (GGA-PBE)

Data for a relaxed structure of Ba2CdF2.

Crystal system: tetragonal
Theoretical density in g cm⁻³: 5.66
M_tot in μB/cell: 0.000
SG: P4/mbm, No. 127

Unit cell a=8.313 b=8.313 c=3.609 alpha=90.00 beta=90.00 gamma=90.00
Fractional positions:
Ba 0.828 0.328 0.500
Ba 0.328 0.172 0.500
Ba 0.672 0.828 0.500
Ba 0.172 0.672 0.500
F 0.383 0.883 0.000
F 0.117 0.383 0.000
F 0.883 0.617 0.000
F 0.617 0.117 0.000
Cd 0.500 0.500 0.000
Cd 0.000 0.000 0.000

It comes down to model w, which is 8.8 kJ/mol of atoms more stable than the next structure.

Model w:
## Ba2CdGa2 (GGA-PBE)

Data for a relaxed structure of Ba2CdGa2.

Crystal system: tetragonal
Theoretical density in g cm⁻³: 5.24
M_tot in μB/cell: 0.000
SG: P4/mbm, No. 127

Unit cell a=8.246 b=8.246 c=4.906 alpha=90.00 beta=90.00 gamma=90.00
Fractional positions:
Ga 0.391 0.891 0.000
Ga 0.609 0.109 0.000
Ga 0.891 0.609 0.000
Ga 0.109 0.391 0.000
Cd 0.500 0.500 0.000
Cd 0.000 0.000 0.000
Ba 0.191 0.691 0.500
Ba 0.691 0.809 0.500
Ba 0.809 0.309 0.500
Ba 0.309 0.191 0.500

Model x:
## Ba2CdGa2 (GGA-PBE)

Data for a relaxed structure of Ba2CdGa2.

Crystal system: monoclinic
Theoretical density in g cm⁻³: 5.44
M_tot in μB/cell: 0.000
SG: C2/c, No. 15

Unit cell a=6.709 b=6.451 c=8.910 alpha=100.63 beta=90.00 gamma=121.33
Fractional positions:
Ga 0.296 0.294 0.504
Ga 0.704 0.706 0.496
Ga 0.999 0.294 0.004
Ga 0.001 0.706 0.996
Ba 0.491 0.288 0.139
Ba 0.797 0.288 0.639
Ba 0.203 0.712 0.361
Ba 0.509 0.712 0.861
Cd 0.113 0.000 0.750
Cd 0.887 0.000 0.250

Model y:
## Ba2CdGa2 (GGA-PBE)

Data for a relaxed structure of Ba2CdGa2.

Crystal system: orthorhombic
Theoretical density in g cm⁻³: 5.55
M_tot in μB/cell: 0.000
SG: Immm, No. 71

Unit cell a=4.799 b=5.995 c=6.688 alpha=116.63 beta=111.02 gamma=90.00
Fractional positions:
Ba 0.200 0.700 0.400
Ba 0.800 0.300 0.600
Ga 0.500 0.266 0.000
Ga 0.500 0.734 0.000
Cd 0.000 0.000 0.000

Model z:
## Ba2CdGa2 (GGA-PBE)

Data for a relaxed structure of Ba2CdGa2.

Crystal system: tetragonal
Theoretical density in g cm⁻³: 4.83
M_tot in μB/cell: 0.000
SG: I4/mmm, No. 139

Unit cell a=6.567 b=6.567 c=6.261 alpha=58.37 beta=58.37 gamma=90.00
Fractional positions:
Ba 0.250 0.750 0.500
Ba 0.750 0.250 0.500
Ga 0.644 0.644 0.711
Ga 0.356 0.356 0.289
Cd 0.000 0.000 0.000

It comes down to model x, which is 1.8 kJ/mol of atoms more stable than the next structure.

Model w:
## Ba2Cd2Ga (GGA-PBE)

Data for a relaxed structure of Ba2Cd2Ga.

Crystal system: tetragonal
Theoretical density in g cm⁻³: 4.88
M_tot in μB/cell: 0.000
SG: P4/mbm, No. 127

Unit cell a=9.564 b=9.564 c=4.233 alpha=90.00 beta=90.00 gamma=90.00
Fractional positions:
Cd 0.380 0.120 0.500
Cd 0.620 0.880 0.500
Cd 0.120 0.620 0.500
Cd 0.880 0.380 0.500
Ba 0.326 0.826 0.000
Ba 0.174 0.326 0.000
Ba 0.826 0.674 0.000
Ba 0.674 0.174 0.000
Ga 0.500 0.500 0.000
Ga 0.000 0.000 0.000

Model x:
## Ba2Cd2Ga (GGA-PBE)

Data for a relaxed structure of Ba2Cd2Ga.

Crystal system: tetragonal
Theoretical density in g cm⁻³: 5.54
M_tot in μB/cell: 0.000
SG: P4/mbm, No. 127

Unit cell a=7.941 b=7.941 c=5.410 alpha=90.00 beta=90.00 gamma=90.00
Fractional positions:
Ga 0.500 0.500 0.000
Ga 0.000 0.000 0.000
Cd 0.871 0.629 0.000
Cd 0.371 0.871 0.000
Cd 0.129 0.371 0.000
Cd 0.629 0.129 0.000
Ba 0.817 0.317 0.500
Ba 0.317 0.183 0.500
Ba 0.183 0.683 0.500
Ba 0.683 0.817 0.500

Model y:
## Ba2Cd2Ga (GGA-PBE)

Data for a relaxed structure of Ba2Cd2Ga.

Crystal system: triclinic
Theoretical density in g cm⁻³: 5.50
M_tot in μB/cell: 0.002
SG: P-1, No. 2

Unit cell a=5.042 b=6.631 c=11.414 alpha=85.52 beta=77.24 gamma=67.54
Fractional positions:
Cd 0.088 0.262 0.560
Cd 0.912 0.738 0.440
Cd 0.619 0.880 0.880
Cd 0.381 0.120 0.120
Ba 0.086 0.710 0.117
Ba 0.677 0.299 0.346
Ba 0.323 0.701 0.654
Ba 0.914 0.290 0.883
Ga 0.378 0.896 0.349
Ga 0.622 0.104 0.651

Model z:
## Ba2Cd2Ga (GGA-PBE)

Data for a relaxed structure of Ba2Cd2Ga.

Crystal system: tetragonal
Theoretical density in g cm⁻³: 4.94
M_tot in μB/cell: 0.000
SG: I4/mmm, No. 139

Unit cell a=6.767 b=6.767 c=6.350 alpha=57.80 beta=57.80 gamma=90.00
Fractional positions:
Ba 0.250 0.750 0.500
Ba 0.750 0.250 0.500
Ga 0.000 0.000 0.000
Cd 0.335 0.335 0.330
Cd 0.665 0.665 0.670

It comes down to model y, which is 13.3 kJ/mol of atoms more stable than the next structure.

Model w:
## Ba2Cd2Ga (GGA-PBE)

Data for a relaxed structure of Ba2Cd2Ga.

Crystal system: tetragonal
Theoretical density in g cm⁻³: 5.26
M_tot in μB/cell: 0.000
SG: I4/mmm, No. 139

Unit cell a=4.195 b=4.195 c=10.629 alpha=78.62 beta=78.62 gamma=90.00
Fractional positions:
Cd 0.250 0.750 0.500
Cd 0.750 0.250 0.500
Ba 0.405 0.405 0.191
Ba 0.595 0.595 0.809
Ga 0.000 0.000 0.000

Model x:
## Ba2Cd2Ga (GGA-PBE)

Data for a relaxed structure of Ba2Cd2Ga.

Crystal system: monoclinic
Theoretical density in g cm⁻³: 5.71
M_tot in μB/cell: 0.000
SG: C2/m, No. 12

Unit cell a=5.171 b=6.635 c=11.289 alpha=110.01 beta=90.00 gamma=112.93
Fractional positions:
Ba 0.683 0.366 0.062
Ba 0.597 0.194 0.389
Ba 0.317 0.634 0.938
Ba 0.403 0.806 0.611
Cd 0.892 0.783 0.370
Cd 0.986 0.973 0.855
Cd 0.108 0.217 0.630
Cd 0.014 0.027 0.145
Ga 0.724 0.449 0.727
Ga 0.276 0.551 0.273

It comes down to model x, which is 9.7 kJ/mol of atoms more stable than the next structure.

Model w:
## Ba3CdGa (GGA-PBE)

Data for a relaxed structure of Ba3CdGa.

Crystal system: cubic
Theoretical density in g cm⁻³: 3.68
M_tot in μB/cell: 1.531
SG: Pm-3m, No. 221

Unit cell a=6.451 b=6.451 c=6.451 alpha=90.00 beta=90.00 gamma=90.00
Fractional positions:
Ba 0.500 0.000 0.000
Ba 0.000 0.500 0.000
Ba 0.000 0.000 0.500
Ga 0.000 0.000 0.000
Cd 0.500 0.500 0.500

Model x:
## Ba3CdGa (GGA-PBE)

Data for a relaxed structure of Ba3CdGa.

Crystal system: orthorhombic
Theoretical density in g cm⁻³: 4.73
M_tot in μB/cell: 0.000
SG: Cmcm, No. 63

Unit cell a=5.975 b=5.974 c=12.059 alpha=90.00 beta=75.66 gamma=90.00
Fractional positions:
Ba 0.246 0.750 0.157
Ba 0.575 0.250 0.499
Ba 0.901 0.750 0.846
Ba 0.403 0.250 0.843
Ba 0.747 0.250 0.154
Ba 0.074 0.750 0.501
Ga 0.666 0.750 0.316
Ga 0.982 0.250 0.684
Cd 0.486 0.750 0.677
Cd 0.163 0.250 0.323

It comes down to model x, which is 27.8 kJ/mol of atoms more stable than the next structure.

Model w:
## BaCdGaHg2 (GGA-PBE)

Data for a relaxed structure of BaCdGaHg2.

Crystal system: tetragonal
Theoretical density in g cm⁻³: 7.73
M_tot in μB/cell: 0.000
SG: P4/mmm, No. 123

Unit cell a=5.381 b=5.381 c=5.349 alpha=90.00 beta=90.00 gamma=90.00
Fractional positions:
Ba 0.500 0.500 0.500
Ga 0.000 0.000 0.000
Hg 0.500 0.000 0.000
Hg 0.000 0.500 0.000
Cd 0.000 0.000 0.500

Model x:
## BaCdGaHg2 (GGA-PBE)

Data for a relaxed structure of BaCdGaHg2.

Crystal system: orthorhombic
Theoretical density in g cm⁻³: 8.63
M_tot in μB/cell: 0.000
SG: Imm2, No. 44

Unit cell a=4.837 b=4.812 c=6.867 alpha=110.51 beta=110.62 gamma=90.00
Fractional positions:
Ba 0.442 0.442 0.883
Hg 0.050 0.050 0.099
Hg 0.703 0.203 0.406
Cd 0.199 0.699 0.397
Ga 0.819 0.819 0.639

It comes down to model x, which is 16.5 kJ/mol of atoms more stable than the next structure.

Model w:
## Ba2CdGaRh (GGA-PBE)

Data for a relaxed structure of Ba2CdGaRh.

Crystal system: tetragonal
Theoretical density in g cm⁻³: 4.62
M_tot in μB/cell: 0.000
SG: P4/mmm, No. 123

Unit cell a=6.370 b=4.957 c=6.370 alpha=90.00 beta=90.00 gamma=90.00
Fractional positions:
Ba 0.500 0.000 0.000
Ba 0.000 0.000 0.500
Ga 0.500 0.500 0.500
Rh 0.000 0.500 0.000
Cd 0.000 0.000 0.000

Model x:
## Ba2CdGaRh (GGA-PBE)

Data for a relaxed structure of Ba2CdGaRh.

Crystal system: tetragonal
Theoretical density in g cm⁻³: 5.22
M_tot in μB/cell: 0.000
SG: P4/mmm, No. 123

Unit cell a=6.051 b=6.051 c=4.861 alpha=90.00 beta=90.00 gamma=90.00
Fractional positions:
Ba 0.500 0.000 0.000
Ba 0.000 0.500 0.000
Rh 0.000 0.000 0.000
Cd 0.500 0.500 0.500
Ga 0.000 0.000 0.500

It comes down to model x, which is 60.3 kJ/mol of atoms more stable than the next structure.